VASP calculation (PBE+U) on crystalline RbMn2B2O6 at its relaxed geometry.

a b c (Å): 5.462 6.661 5.398
angles (deg): 109.45 87.84 67.61
Last column: magnetic moment on the atom in μB.
Sites, in units of the cell vectors:
Rb 0.500 0.000 0.500  0.00
Mn 0.782 0.444 0.832  4.37
Mn 0.218 0.556 0.168  4.37
B 0.228 0.666 0.753  0.03
B 0.772 0.334 0.247  0.03
O 0.380 0.714 0.951  -0.02
O 0.903 0.466 0.196  -0.06
O 0.215 0.734 0.542  -0.01
O 0.097 0.534 0.804  -0.06
O 0.785 0.266 0.458  -0.01
O 0.620 0.286 0.049  -0.02

Properties
calculated volume = 168 Å³/f.u.
N(E_F) = 0.4 states/eV/f.u.
E_tot = -7.37 eV per atom
space group = P-1
spin magnetization = 9.00 Bohr magnetons per cell